The following is a PBE calculation of a relaxed CdPPtS2 crystal, from the Alexandria database. Values from VASP.

The structure in Quantum ESPRESSO input format:
```
&SYSTEM
  ibrav = 0, nat = 5, ntyp = 4
/
ATOMIC_SPECIES
P 30.97 P.upf
S 32.06 S.upf
Pt 195.08 Pt.upf
Cd 112.41 Cd.upf
CELL_PARAMETERS angstrom
4.8704 0.0000 0.0000
0.0000 4.8704 0.0000
0.0000 0.0000 4.9185
ATOMIC_POSITIONS angstrom
P 0.0000 0.0000 2.4592
S 0.0000 2.4352 0.0000
S 2.4352 0.0000 0.0000
Pt 2.4352 2.4352 2.4592
Cd 0.0000 0.0000 0.0000
```

Calculated values
raw formation energy: 1.433 eV per atom
volume: 23.3 Å³/atom
space-group type: P4/mmm (123)
relative energy among the computed polymorphs: 0.9922 eV per atom
E: -13.457 eV per formula unit